Entry one
Density functional theory data (PBE) for a relaxed NaSiS crystal.

Output
Spin magnetization, Bohr magnetons per cell: 0.0
Crystal system: monoclinic

a b c (Å): 8.885 3.962 7.447
angles (deg): 90.00 110.97 90.00
Element x y z (fractional)
Na  0.150  0.245  0.439
Na  0.150  0.255  0.939
Na  0.850  0.745  0.061
Na  0.850  0.755  0.561
Si  0.457  0.567  0.318
Si  0.457  0.933  0.818
Si  0.543  0.067  0.182
Si  0.543  0.433  0.682
S  0.208  0.733  0.215
S  0.208  0.767  0.715
S  0.792  0.233  0.285
S  0.792  0.267  0.785

Entry two
Density functional theory data (PBE) for a relaxed NaSiS crystal.

Output
Spin magnetization, Bohr magnetons per cell: 0.0
Crystal system: trigonal

a b c (Å): 6.202 6.202 6.202
angles (deg): 31.72 31.72 31.72
Element x y z (fractional)
Na  0.000  0.000  0.000
Si  0.465  0.465  0.465
S  0.212  0.212  0.212

Stability verdict: entry one, ahead by 500 meV per atom